A:
Here is crystalline RbSn2Ir2 at its relaxed geometry from Alexandria via LeMat-Bulk. Energies are from PBE.

Calculated values
Crystal system: tetragonal

Cell and atoms, written as CIF:
```
data_RbSn2Ir2
_chemical_formula_sum 'Rb2 Sn4 Ir4'
_space_group_name_H-M_alt 'I 4/m m m'
_space_group_IT_number 139
_space_group_name_Hall '-I 4 2'
_cell_length_a 4.446
_cell_length_b 4.446
_cell_length_c 12.629
_cell_angle_alpha 90.00
_cell_angle_beta 90.00
_cell_angle_gamma 90.00
loop_
_atom_site_label
_atom_site_type_symbol
_atom_site_fract_x
_atom_site_fract_y
_atom_site_fract_z
Rb1 Rb 0.000 0.000 0.000
Sn1 Sn 0.000 0.000 0.362
Ir1 Ir 0.000 0.500 0.250
```

B:
Here is crystalline RbSn2Ir2 at its relaxed geometry from Alexandria via LeMat-Bulk. Energies are from PBE.

Calculated values
Crystal system: tetragonal

Cell and atoms, written as CIF:
```
data_RbSn2Ir2
_chemical_formula_sum 'Rb2 Sn4 Ir4'
_space_group_name_H-M_alt 'P 4/m b m'
_space_group_IT_number 127
_space_group_name_Hall '-P 4 2ab'
_cell_length_a 8.343
_cell_length_b 8.343
_cell_length_c 3.010
_cell_angle_alpha 90.00
_cell_angle_beta 90.00
_cell_angle_gamma 90.00
loop_
_atom_site_label
_atom_site_type_symbol
_atom_site_fract_x
_atom_site_fract_y
_atom_site_fract_z
Rb1 Rb 0.000 0.000 0.000
Sn1 Sn 0.149 0.351 0.500
Ir1 Ir 0.137 0.637 0.000
```

Verdict on stability: A comes out on top.

A:
Here is crystalline RbSnIr3 at its relaxed geometry from Alexandria via LeMat-Bulk. Energies are from PBE.

Calculated values
Crystal system: cubic

Cell and atoms, written as CIF:
```
data_RbSnIr3
_chemical_formula_sum 'Rb1 Sn1 Ir3'
_space_group_name_H-M_alt 'P m -3 m'
_space_group_IT_number 221
_space_group_name_Hall '-P 4 2 3'
_cell_length_a 5.038
_cell_length_b 5.038
_cell_length_c 5.038
_cell_angle_alpha 90.00
_cell_angle_beta 90.00
_cell_angle_gamma 90.00
loop_
_atom_site_label
_atom_site_type_symbol
_atom_site_fract_x
_atom_site_fract_y
_atom_site_fract_z
Rb1 Rb 0.000 0.000 0.000
Sn1 Sn 0.500 0.500 0.500
Ir1 Ir 0.000 0.500 0.500
```

B:
Here is crystalline RbSnIr3 at its relaxed geometry from Alexandria via LeMat-Bulk. Energies are from PBE.

Calculated values
Crystal system: cubic

Cell and atoms, written as CIF:
```
data_RbSnIr3
_chemical_formula_sum 'Rb1 Sn1 Ir3'
_space_group_name_H-M_alt 'P m -3 m'
_space_group_IT_number 221
_space_group_name_Hall '-P 4 2 3'
_cell_length_a 4.928
_cell_length_b 4.928
_cell_length_c 4.928
_cell_angle_alpha 90.00
_cell_angle_beta 90.00
_cell_angle_gamma 90.00
loop_
_atom_site_label
_atom_site_type_symbol
_atom_site_fract_x
_atom_site_fract_y
_atom_site_fract_z
Rb1 Rb 0.000 0.000 0.000
Sn1 Sn 0.500 0.500 0.500
Ir1 Ir 0.000 0.000 0.500
```

Verdict on stability: A comes out on top.

A:
Here is crystalline Rb2TaIr at its relaxed geometry from Alexandria via LeMat-Bulk. Energies are from PBE.

Calculated values
Crystal system: cubic

Cell and atoms, written as CIF:
```
data_Rb2TaIr
_chemical_formula_sum 'Rb8 Ta4 Ir4'
_space_group_name_H-M_alt 'F m -3 m'
_space_group_IT_number 225
_space_group_name_Hall '-F 4 2 3'
_cell_length_a 7.878
_cell_length_b 7.878
_cell_length_c 7.878
_cell_angle_alpha 90.00
_cell_angle_beta 90.00
_cell_angle_gamma 90.00
loop_
_atom_site_label
_atom_site_type_symbol
_atom_site_fract_x
_atom_site_fract_y
_atom_site_fract_z
Rb1 Rb 0.250 0.250 0.250
Ta1 Ta 0.000 0.000 0.000
Ir1 Ir 0.000 0.000 0.500
```

B:
Here is crystalline Rb2TaIr at its relaxed geometry from Alexandria via LeMat-Bulk. Energies are from PBE.

Calculated values
Crystal system: tetragonal

Cell and atoms, written as CIF:
```
data_Rb2TaIr
_chemical_formula_sum 'Rb8 Ta4 Ir4'
_space_group_name_H-M_alt 'I -4 2 d'
_space_group_IT_number 122
_space_group_name_Hall 'I -4 2bw'
_cell_length_a 12.868
_cell_length_b 12.868
_cell_length_c 4.772
_cell_angle_alpha 90.00
_cell_angle_beta 90.00
_cell_angle_gamma 90.00
loop_
_atom_site_label
_atom_site_type_symbol
_atom_site_fract_x
_atom_site_fract_y
_atom_site_fract_z
Rb1 Rb 0.087 0.750 0.125
Ta1 Ta 0.000 0.000 0.500
Ir1 Ir 0.000 0.000 0.000
```

Verdict on stability: B comes out on top.

A:
Here is crystalline RbTaIr3 at its relaxed geometry from Alexandria via LeMat-Bulk. Energies are from PBE.

Calculated values
Crystal system: cubic

Cell and atoms, written as CIF:
```
data_RbTaIr3
_chemical_formula_sum 'Rb1 Ta1 Ir3'
_space_group_name_H-M_alt 'P m -3 m'
_space_group_IT_number 221
_space_group_name_Hall '-P 4 2 3'
_cell_length_a 4.716
_cell_length_b 4.716
_cell_length_c 4.716
_cell_angle_alpha 90.00
_cell_angle_beta 90.00
_cell_angle_gamma 90.00
loop_
_atom_site_label
_atom_site_type_symbol
_atom_site_fract_x
_atom_site_fract_y
_atom_site_fract_z
Rb1 Rb 0.000 0.000 0.000
Ta1 Ta 0.500 0.500 0.500
Ir1 Ir 0.000 0.000 0.500
```

B:
Here is crystalline RbTaIr3 at its relaxed geometry from Alexandria via LeMat-Bulk. Energies are from PBE.

Calculated values
Crystal system: cubic

Cell and atoms, written as CIF:
```
data_RbTaIr3
_chemical_formula_sum 'Rb1 Ta1 Ir3'
_space_group_name_H-M_alt 'P m -3 m'
_space_group_IT_number 221
_space_group_name_Hall '-P 4 2 3'
_cell_length_a 4.923
_cell_length_b 4.923
_cell_length_c 4.923
_cell_angle_alpha 90.00
_cell_angle_beta 90.00
_cell_angle_gamma 90.00
loop_
_atom_site_label
_atom_site_type_symbol
_atom_site_fract_x
_atom_site_fract_y
_atom_site_fract_z
Rb1 Rb 0.000 0.000 0.000
Ta1 Ta 0.500 0.500 0.500
Ir1 Ir 0.000 0.500 0.500
```

Verdict on stability: B comes out on top.

A:
Here is crystalline RbTcIr at its relaxed geometry from Alexandria via LeMat-Bulk. Energies are from PBE.

Calculated values
Crystal system: triclinic

Cell and atoms, written as CIF:
```
data_RbTcIr
_chemical_formula_sum 'Rb2 Tc2 Ir2'
_space_group_name_H-M_alt 'P 1'
_space_group_IT_number 1
_cell_length_a 4.364
_cell_length_b 4.704
_cell_length_c 11.643
_cell_angle_alpha 89.79
_cell_angle_beta 80.30
_cell_angle_gamma 62.62
loop_
_space_group_symop_operation_xyz
'x,y,z'
loop_
_atom_site_label
_atom_site_type_symbol
_atom_site_fract_x
_atom_site_fract_y
_atom_site_fract_z
Rb1 Rb 0.000 0.000 0.000
Rb2 Rb 0.452 0.656 0.379
Tc1 Tc 0.431 0.343 0.774
Tc2 Tc 0.638 0.090 0.602
Ir1 Ir 0.194 0.895 0.690
Ir2 Ir 0.875 0.537 0.684
```

B:
Here is crystalline RbTcIr at its relaxed geometry from Alexandria via LeMat-Bulk. Energies are from PBE.

Calculated values
Crystal system: triclinic

Cell and atoms, written as CIF:
```
data_RbTcIr
_chemical_formula_sum 'Rb2 Tc2 Ir2'
_space_group_name_H-M_alt 'P -1'
_space_group_IT_number 2
_cell_length_a 2.860
_cell_length_b 4.311
_cell_length_c 13.046
_cell_angle_alpha 90.28
_cell_angle_beta 93.86
_cell_angle_gamma 90.00
loop_
_space_group_symop_operation_xyz
'x,y,z'
'-x,-y,-z'
loop_
_atom_site_label
_atom_site_type_symbol
_atom_site_fract_x
_atom_site_fract_y
_atom_site_fract_z
Rb1 Rb 0.107 0.255 0.321
Tc1 Tc 0.018 0.251 0.061
Ir1 Ir 0.465 0.248 0.887
```

C:
Here is crystalline RbTcIr at its relaxed geometry from Alexandria via LeMat-Bulk. Energies are from PBE.

Calculated values
Crystal system: triclinic

Cell and atoms, written as CIF:
```
data_RbTcIr
_chemical_formula_sum 'Rb2 Tc2 Ir2'
_space_group_name_H-M_alt 'P -1'
_space_group_IT_number 2
_cell_length_a 4.293
_cell_length_b 4.950
_cell_length_c 9.544
_cell_angle_alpha 95.77
_cell_angle_beta 90.16
_cell_angle_gamma 101.87
loop_
_space_group_symop_operation_xyz
'x,y,z'
'-x,-y,-z'
loop_
_atom_site_label
_atom_site_type_symbol
_atom_site_fract_x
_atom_site_fract_y
_atom_site_fract_z
Rb1 Rb 0.240 0.213 0.313
Tc1 Tc 0.315 0.342 0.918
Ir1 Ir 0.218 0.829 0.989
```

Verdict on stability: B comes out on top.

A:
Here is crystalline RbTc3Ir at its relaxed geometry from Alexandria via LeMat-Bulk. Energies are from PBE.

Calculated values
Crystal system: cubic

Cell and atoms, written as CIF:
```
data_RbTc3Ir
_chemical_formula_sum 'Rb1 Tc3 Ir1'
_space_group_name_H-M_alt 'P m -3 m'
_space_group_IT_number 221
_space_group_name_Hall '-P 4 2 3'
_cell_length_a 4.551
_cell_length_b 4.551
_cell_length_c 4.551
_cell_angle_alpha 90.00
_cell_angle_beta 90.00
_cell_angle_gamma 90.00
loop_
_atom_site_label
_atom_site_type_symbol
_atom_site_fract_x
_atom_site_fract_y
_atom_site_fract_z
Rb1 Rb 0.000 0.000 0.000
Tc1 Tc 0.000 0.000 0.500
Ir1 Ir 0.500 0.500 0.500
```

B:
Here is crystalline RbTc3Ir at its relaxed geometry from Alexandria via LeMat-Bulk. Energies are from PBE.

Calculated values
Crystal system: cubic

Cell and atoms, written as CIF:
```
data_RbTc3Ir
_chemical_formula_sum 'Rb1 Tc3 Ir1'
_space_group_name_H-M_alt 'P m -3 m'
_space_group_IT_number 221
_space_group_name_Hall '-P 4 2 3'
_cell_length_a 4.887
_cell_length_b 4.887
_cell_length_c 4.887
_cell_angle_alpha 90.00
_cell_angle_beta 90.00
_cell_angle_gamma 90.00
loop_
_atom_site_label
_atom_site_type_symbol
_atom_site_fract_x
_atom_site_fract_y
_atom_site_fract_z
Rb1 Rb 0.000 0.000 0.000
Tc1 Tc 0.000 0.500 0.500
Ir1 Ir 0.500 0.500 0.500
```

Verdict on stability: B comes out on top.

A:
Here is crystalline RbTcIr3 at its relaxed geometry from Alexandria via LeMat-Bulk. Energies are from PBE.

Calculated values
Crystal system: cubic

Cell and atoms, written as CIF:
```
data_RbTcIr3
_chemical_formula_sum 'Rb1 Tc1 Ir3'
_space_group_name_H-M_alt 'P m -3 m'
_space_group_IT_number 221
_space_group_name_Hall '-P 4 2 3'
_cell_length_a 4.706
_cell_length_b 4.706
_cell_length_c 4.706
_cell_angle_alpha 90.00
_cell_angle_beta 90.00
_cell_angle_gamma 90.00
loop_
_atom_site_label
_atom_site_type_symbol
_atom_site_fract_x
_atom_site_fract_y
_atom_site_fract_z
Rb1 Rb 0.000 0.000 0.000
Tc1 Tc 0.500 0.500 0.500
Ir1 Ir 0.000 0.000 0.500
```

B:
Here is crystalline RbTcIr3 at its relaxed geometry from Alexandria via LeMat-Bulk. Energies are from PBE.

Calculated values
Crystal system: cubic

Cell and atoms, written as CIF:
```
data_RbTcIr3
_chemical_formula_sum 'Rb1 Tc1 Ir3'
_space_group_name_H-M_alt 'P m -3 m'
_space_group_IT_number 221
_space_group_name_Hall '-P 4 2 3'
_cell_length_a 4.830
_cell_length_b 4.830
_cell_length_c 4.830
_cell_angle_alpha 90.00
_cell_angle_beta 90.00
_cell_angle_gamma 90.00
loop_
_atom_site_label
_atom_site_type_symbol
_atom_site_fract_x
_atom_site_fract_y
_atom_site_fract_z
Rb1 Rb 0.000 0.000 0.000
Tc1 Tc 0.500 0.500 0.500
Ir1 Ir 0.000 0.500 0.500
```

Verdict on stability: B comes out on top.

A:
Here is crystalline RbTe3Ir at its relaxed geometry from Alexandria via LeMat-Bulk. Energies are from PBE.

Calculated values
Crystal system: cubic

Cell and atoms, written as CIF:
```
data_RbTe3Ir
_chemical_formula_sum 'Rb1 Te3 Ir1'
_space_group_name_H-M_alt 'P m -3 m'
_space_group_IT_number 221
_space_group_name_Hall '-P 4 2 3'
_cell_length_a 5.434
_cell_length_b 5.434
_cell_length_c 5.434
_cell_angle_alpha 90.00
_cell_angle_beta 90.00
_cell_angle_gamma 90.00
loop_
_atom_site_label
_atom_site_type_symbol
_atom_site_fract_x
_atom_site_fract_y
_atom_site_fract_z
Rb1 Rb 0.000 0.000 0.000
Te1 Te 0.000 0.500 0.500
Ir1 Ir 0.500 0.500 0.500
```

B:
Here is crystalline RbTe3Ir at its relaxed geometry from Alexandria via LeMat-Bulk. Energies are from PBE.

Calculated values
Crystal system: cubic

Cell and atoms, written as CIF:
```
data_RbTe3Ir
_chemical_formula_sum 'Rb1 Te3 Ir1'
_space_group_name_H-M_alt 'P m -3 m'
_space_group_IT_number 221
_space_group_name_Hall '-P 4 2 3'
_cell_length_a 6.108
_cell_length_b 6.108
_cell_length_c 6.108
_cell_angle_alpha 90.00
_cell_angle_beta 90.00
_cell_angle_gamma 90.00
loop_
_atom_site_label
_atom_site_type_symbol
_atom_site_fract_x
_atom_site_fract_y
_atom_site_fract_z
Rb1 Rb 0.000 0.000 0.000
Te1 Te 0.000 0.000 0.500
Ir1 Ir 0.500 0.500 0.500
```

Verdict on stability: A comes out on top.